Entry from Alexandria via LeMat-Bulk: a relaxed structure of Ba3Sn4Pd2 (PBE).

Its crystal system is monoclinic. Its formation energy is -654 meV per atom. Its total energy is -4.2276 eV per atom. The value obtained for the polymorph energy (0 for the lowest one) is 11.5 meV per atom.

The space group is C2/m (No. 12) and the conventional cell measures 12.8219, 4.5848 and 9.9753 Å, with angles of 90.00, 99.37 and 90.00 degrees. Symmetry generates all atoms from Ba at (0.0000, 0.0000, 0.0000), Ba at (0.1171, 0.5000, 0.3927), Sn at (0.1053, 0.0000, 0.6737), Sn at (0.2103, 0.5000, 0.0851) and Pd at (0.1816, 0.5000, 0.8030).

Entry from Alexandria via LeMat-Bulk: a relaxed structure of BaSn2Pd2 (PBE).

Its crystal system is tetragonal. Its formation energy is -364 meV per atom. Its total energy is -4.4273 eV per atom.

The space group is P4/mbm (No. 127) and the conventional cell measures 8.5645, 8.5645 and 3.2368 Å, with angles of 90.00, 90.00 and 90.00 degrees. Symmetry generates all atoms from Ba at (0.0000, 0.0000, 0.0000), Sn at (0.1314, 0.3686, 0.0000) and Pd at (0.1501, 0.6501, 0.5000).

Entry from Alexandria via LeMat-Bulk: a relaxed structure of BaSn3Pd2 (PBE).

Its crystal system is monoclinic. Its formation energy is -600 meV per atom. Its total energy is -4.6523 eV per atom. The value obtained for the polymorph energy (0 for the lowest one) is 0.0 meV per atom.

The space group is C2/m (No. 12) and the conventional cell measures 18.1030, 4.6646 and 11.2075 Å, with angles of 90.00, 107.50 and 90.00 degrees. Symmetry generates all atoms from Ba at (0.0000, 0.0000, 0.0000), Ba at (0.1575, 0.0000, 0.7035), Sn at (0.0000, 0.5000, 0.5000), Sn at (0.0435, 0.0000, 0.3504), Sn at (0.1280, 0.5000, 0.1910), Sn at (0.1685, 0.5000, 0.9533), Sn at (0.2165, 0.0000, 0.3791), Pd at (0.0186, 0.5000, 0.7720), Pd at (0.1427, 0.5000, 0.4438) and Pd at (0.1961, 0.0000, 0.1149).

Entry from Alexandria via LeMat-Bulk: a relaxed structure of Ba2Sn3Pd4 (PBE).

Its crystal system is orthorhombic. Its formation energy is -629 meV per atom. Its total energy is -4.6985 eV per atom.

The space group is Cmce (No. 64) and the conventional cell measures 6.5934, 17.0111 and 7.6836 Å, with angles of 90.00, 90.00 and 90.00 degrees. Symmetry generates all atoms from Ba at (0.0000, 0.1020, 0.0845), Sn at (0.0000, 0.0000, 0.5000), Sn at (0.2500, 0.2350, 0.7500), Pd at (0.0000, 0.1721, 0.4928) and Pd at (0.2500, 0.0721, 0.7500).

Entry from Alexandria via LeMat-Bulk: a relaxed structure of BaSnPd4 (PBE).

Its crystal system is tetragonal. Its formation energy is -56 meV per atom. Its total energy is -4.5060 eV per atom. The value obtained for the polymorph energy (0 for the lowest one) is 323.4 meV per atom.

The space group is P4/mbm (No. 127) and the conventional cell measures 6.5519, 6.5519 and 7.5953 Å, with angles of 90.00, 90.00 and 90.00 degrees. Symmetry generates all atoms from Ba at (0.0000, 0.5000, 0.0000), Sn at (0.0000, 0.0000, 0.5000), Pd at (0.0000, 0.0000, 0.1686) and Pd at (0.1400, 0.3600, 0.5000).

Entry from Alexandria via LeMat-Bulk: a relaxed structure of BaSnPd2 (PBE).

Its crystal system is orthorhombic. Its formation energy is -674 meV per atom. Its total energy is -4.7519 eV per atom.

The space group is Pnma (No. 62) and the conventional cell measures 8.0768, 7.1402 and 6.9145 Å, with angles of 90.00, 90.00 and 90.00 degrees. Symmetry generates all atoms from Ba at (0.0107, 0.2500, 0.1570), Sn at (0.1418, 0.7500, 0.3423) and Pd at (0.1585, 0.0577, 0.5816).

Entry from Alexandria via LeMat-Bulk: a relaxed structure of Ba3Sn2Pd3 (PBE).

Its crystal system is orthorhombic. Its formation energy is -694 meV per atom. Its total energy is -4.3628 eV per atom.

The space group is Pnma (No. 62) and the conventional cell measures 8.6592, 16.2665 and 6.9657 Å, with angles of 90.00, 90.00 and 90.00 degrees. Symmetry generates all atoms from Ba at (0.0089, 0.1055, 0.1507), Ba at (0.1312, 0.7500, 0.3788), Sn at (0.1642, 0.0914, 0.6349), Pd at (0.1337, 0.5407, 0.4004) and Pd at (0.2117, 0.2500, 0.4589).

Entry from Alexandria via LeMat-Bulk: a relaxed structure of Ba3Sn8Pd3 (PBE).

Its crystal system is monoclinic. Its formation energy is -532 meV per atom. Its total energy is -4.3442 eV per atom. The value obtained for the polymorph energy (0 for the lowest one) is 0.0 meV per atom.

The space group is C2/m (No. 12) and the conventional cell measures 18.8884, 4.7847 and 9.7682 Å, with angles of 90.00, 114.73 and 90.00 degrees. Symmetry generates all atoms from Ba at (0.0000, 0.0000, 0.0000), Ba at (0.2223, 0.5000, 0.6842), Sn at (0.0264, 0.5000, 0.6943), Sn at (0.1179, 0.0000, 0.4209), Sn at (0.1258, 0.5000, 0.2476), Sn at (0.1832, 0.0000, 0.9062), Pd at (0.0000, 0.0000, 0.5000) and Pd at (0.1505, 0.5000, 0.9943).

Entry from Alexandria via LeMat-Bulk: a relaxed structure of Ba3Sn2Pd (PBE).

Its crystal system is monoclinic. Its formation energy is -570 meV per atom. Its total energy is -3.7308 eV per atom.

The space group is C2/c (No. 15) and the conventional cell measures 10.8363, 10.5093 and 8.6560 Å, with angles of 90.00, 107.28 and 90.00 degrees. Symmetry generates all atoms from Ba at (0.0000, 0.1279, 0.2500), Ba at (0.1812, 0.4280, 0.9817), Sn at (0.1851, 0.2562, 0.6383) and Pd at (0.0000, 0.1650, 0.7500).

Entry from Alexandria via LeMat-Bulk: a relaxed structure of BaSn12Pd6 (PBE).

Its crystal system is trigonal. Its formation energy is -347 meV per atom. Its total energy is -4.6163 eV per atom.

The space group is R-3m (No. 166, hexagonal axes) and the conventional cell measures 13.0679, 13.0679 and 9.3761 Å, with angles of 90.00, 90.00 and 120.00 degrees. Symmetry generates all atoms from Ba at (0.0000, 0.0000, 0.0000), Sn at (0.0000, 0.3800, 0.5000), Sn at (0.0887, 0.1775, 0.3252) and Pd at (0.0382, 0.5191, 0.2464).

Entry from Alexandria via LeMat-Bulk: a relaxed structure of BaSnPd (PBE).

Its crystal system is monoclinic. Its formation energy is -748 meV per atom. Its total energy is -4.4539 eV per atom.

The space group is P2_1/c (No. 14) and the conventional cell measures 6.8973, 7.1097 and 8.5927 Å, with angles of 90.00, 121.72 and 90.00 degrees. Symmetry generates all atoms from Ba at (0.2107, 0.1397, 0.4118), Sn at (0.2584, 0.6292, 0.5735) and Pd at (0.3790, 0.5994, 0.3230).

Entry from Alexandria via LeMat-Bulk: a relaxed structure of BaSnPd (PBE).

Its crystal system is hexagonal. Its formation energy is -666 meV per atom. Its total energy is -4.3721 eV per atom.

The space group is P-6m2 (No. 187) and the conventional cell measures 4.7061, 4.7061 and 4.8139 Å, with angles of 90.00, 90.00 and 120.00 degrees. Symmetry generates all atoms from Ba at (0.0000, 0.0000, 0.0000), Sn at (0.6667, 0.3333, 0.5000) and Pd at (0.3333, 0.6667, 0.5000).

Entry from Alexandria via LeMat-Bulk: a relaxed structure of Ba3Sn2Pd2 (PBE).

Its crystal system is orthorhombic. Its formation energy is -683 meV per atom. Its total energy is -4.1345 eV per atom.

The space group is Pbcm (No. 57) and the conventional cell measures 6.5089, 9.2536 and 14.7245 Å, with angles of 90.00, 90.00 and 90.00 degrees. Symmetry generates all atoms from Ba at (0.1445, 0.1063, 0.0975), Ba at (0.3354, 0.7424, 0.7500), Sn at (0.1815, 0.0958, 0.7500), Sn at (0.3751, 0.7500, 0.0000) and Pd at (0.3902, 0.0310, 0.5865).

Entry from Alexandria via LeMat-Bulk: a relaxed structure of Ba2SnPd (PBE).

Its crystal system is monoclinic. Its formation energy is -518 meV per atom. Its total energy is -3.7788 eV per atom.

The space group is C2/c (No. 15) and the conventional cell measures 12.1665, 5.2207 and 10.3907 Å, with angles of 90.00, 115.29 and 90.00 degrees. Symmetry generates all atoms from Ba at (0.1691, 0.9996, 0.0845), Sn at (0.0000, 0.4995, 0.2500) and Pd at (0.0000, 0.0006, 0.7500).

Entry from Alexandria via LeMat-Bulk: a relaxed structure of BaSr2SnPd (PBE).

Its crystal system is tetragonal. Its formation energy is -412 meV per atom. Its total energy is -3.3088 eV per atom.

The space group is P4/mmm (No. 123) and the conventional cell measures 5.8993, 5.8993 and 5.3874 Å, with angles of 90.00, 90.00 and 90.00 degrees. Symmetry generates all atoms from Ba at (0.0000, 0.0000, 0.0000), Sr at (0.0000, 0.5000, 0.5000), Sn at (0.5000, 0.5000, 0.0000) and Pd at (0.5000, 0.5000, 0.5000).

Entry from Alexandria via LeMat-Bulk: a relaxed structure of BaSrSn2Pd5 (PBE).

Its crystal system is tetragonal. Its formation energy is -535 meV per atom. Its total energy is -4.7100 eV per atom.

The space group is P4/mmm (No. 123) and the conventional cell measures 4.8196, 4.8196 and 8.9807 Å, with angles of 90.00, 90.00 and 90.00 degrees. Symmetry generates all atoms from Ba at (0.0000, 0.0000, 0.0000), Sr at (0.0000, 0.0000, 0.5000), Sn at (0.5000, 0.5000, 0.3358), Pd at (0.0000, 0.5000, 0.2189) and Pd at (0.5000, 0.5000, 0.0000).

Entry from Alexandria via LeMat-Bulk: a relaxed structure of BaThSn2Pd2 (PBE).

Its crystal system is trigonal. Its formation energy is -775 meV per atom. Its total energy is -5.3972 eV per atom.

The space group is P-3m1 (No. 164) and the conventional cell measures 4.8449, 4.8449 and 8.1984 Å, with angles of 90.00, 90.00 and 120.00 degrees. Symmetry generates all atoms from Ba at (0.0000, 0.0000, 0.0000), Th at (0.0000, 0.0000, 0.5000), Sn at (0.3333, 0.6667, 0.7077) and Pd at (0.3333, 0.6667, 0.3244).

Entry from Alexandria via LeMat-Bulk: a relaxed structure of BaZn2SnPd (PBE).

Its crystal system is tetragonal. Its formation energy is -344 meV per atom. Its total energy is -3.0772 eV per atom.

The space group is P4/mmm (No. 123) and the conventional cell measures 4.9994, 4.9994 and 5.2013 Å, with angles of 90.00, 90.00 and 90.00 degrees. Symmetry generates all atoms from Ba at (0.0000, 0.0000, 0.0000), Zn at (0.0000, 0.5000, 0.5000), Sn at (0.5000, 0.5000, 0.0000) and Pd at (0.5000, 0.5000, 0.5000).

Entry from Alexandria via LeMat-Bulk: a relaxed structure of BaZnSnPd3 (PBE).

Its crystal system is orthorhombic. Its formation energy is -437 meV per atom. Its total energy is -4.2338 eV per atom.

The space group is Cmcm (No. 63) and the conventional cell measures 6.4557, 15.5299 and 6.0877 Å, with angles of 90.00, 90.00 and 90.00 degrees. Symmetry generates all atoms from Ba at (0.0000, 0.2282, 0.2500), Zn at (0.0000, 0.1007, 0.7500), Sn at (0.0000, 0.4284, 0.7500), Pd at (0.0000, 0.2604, 0.7500) and Pd at (0.2130, 0.0000, 0.0000).

Entry from Alexandria via LeMat-Bulk: a relaxed structure of Ba3Zn2Sn2Pd4 (PBE).

Its crystal system is trigonal. Its formation energy is -520 meV per atom. Its total energy is -3.8926 eV per atom.

The space group is P-3m1 (No. 164) and the conventional cell measures 4.5886, 4.5886 and 16.6443 Å, with angles of 90.00, 90.00 and 120.00 degrees. Symmetry generates all atoms from Ba at (0.0000, 0.0000, 0.0000), Ba at (0.0000, 0.0000, 0.2736), Zn at (0.3333, 0.6667, 0.1361), Sn at (0.3333, 0.6667, 0.5662), Pd at (0.3333, 0.6667, 0.4043) and Pd at (0.3333, 0.6667, 0.8664).